(1)
Density functional theory data (PBE) for ErNb2Co after structural relaxation.

Cell lengths 2.9465, 2.9465, 30.3568 Å; angles 90.00, 90.00, 120.00 degrees
Space group R-3m (No. 166, hexagonal axes)
Inequivalent atoms, fractional coordinates:
Er (0.0000, 0.0000, 0.0000)
Nb (0.0000, 0.0000, 0.0999)
Co (0.0000, 0.0000, 0.5000)

Properties
* ΔE_f: 0.542 eV per atom

=====

(2)
Density functional theory data (PBE) for ErNbCo4 after structural relaxation.

Cell lengths 6.908, 6.908, 6.908 Å; angles 90.00, 90.00, 90.00 degrees
Space group F-43m (No. 216)
Inequivalent atoms, fractional coordinates:
Er (0.000, 0.000, 0.000)
Nb (0.250, 0.250, 0.250)
Co (0.125, 0.125, 0.625)

Properties
* ΔE_f: -0.129 eV per atom

=====

(3)
Density functional theory data (PBE) for Er2NbCo after structural relaxation.

Cell lengths 3.2013, 3.2013, 29.4818 Å; angles 90.00, 90.00, 120.00 degrees
Space group R-3m (No. 166, hexagonal axes)
Inequivalent atoms, fractional coordinates:
Er (0.0000, 0.0000, 0.1010)
Nb (0.0000, 0.0000, 0.0000)
Co (0.0000, 0.0000, 0.5000)

Properties
* ΔE_f: 0.529 eV per atom

=====

(4)
Density functional theory data (PBE) for ErNbCo2 after structural relaxation.

Cell lengths 6.359, 6.359, 6.359 Å; angles 90.00, 90.00, 90.00 degrees
Space group Fm-3m (No. 225)
Inequivalent atoms, fractional coordinates:
Er (0.000, 0.000, 0.000)
Nb (0.000, 0.000, 0.500)
Co (0.250, 0.250, 0.250)

Properties
* ΔE_f: -0.026 eV per atom
* ΔE to the lowest computed polymorph: 103 meV per atom

=====

(5)
Density functional theory data (PBE) for ErNbCo after structural relaxation.

Cell lengths 3.206, 3.206, 11.052 Å; angles 90.00, 90.00, 90.00 degrees
Space group I4mm (No. 107)
Inequivalent atoms, fractional coordinates:
Er (0.000, 0.000, 0.000)
Nb (0.000, 0.000, 0.291)
Co (0.000, 0.000, 0.692)

Properties
* ΔE_f: 0.027 eV per atom
* ΔE to the lowest computed polymorph: 74 meV per atom

=====

(6)
Density functional theory data (PBE) for Er2NbCo2 after structural relaxation.

Cell lengths 3.896, 5.447, 8.945 Å; angles 90.00, 90.00, 90.00 degrees
Space group Immm (No. 71)
Inequivalent atoms, fractional coordinates:
Er (0.000, 0.000, 0.204)
Nb (0.000, 0.500, 0.000)
Co (0.000, 0.281, 0.500)

Properties
* ΔE_f: -0.219 eV per atom

=====

(7)
Density functional theory data (PBE) for ErNbCo2 after structural relaxation.

Cell lengths 4.564, 4.564, 3.087 Å; angles 90.00, 90.00, 90.00 degrees
Space group P4/mmm (No. 123)
Inequivalent atoms, fractional coordinates:
Er (0.000, 0.000, 0.000)
Nb (0.500, 0.500, 0.000)
Co (0.000, 0.500, 0.500)

Properties
* ΔE_f: -0.032 eV per atom
* ΔE to the lowest computed polymorph: 97 meV per atom

=====

(8)
Density functional theory data (PBE) for ErNbCo10 after structural relaxation.

Cell lengths 3.975, 4.760, 8.264 Å; angles 90.00, 90.00, 90.00 degrees
Space group Pmmm (No. 47)
Inequivalent atoms, fractional coordinates:
Er (0.000, 0.000, 0.000)
Nb (0.000, 0.500, 0.500)
Co (0.000, 0.000, 0.344)
Co (0.000, 0.500, 0.180)
Co (0.500, 0.000, 0.500)
Co (0.500, 0.255, 0.258)
Co (0.500, 0.500, 0.000)

Properties
* ΔE_f: -0.023 eV per atom

=====

(9)
Density functional theory data (PBE) for ErNbCo2 after structural relaxation.

Cell lengths 4.1781, 4.1781, 13.8000 Å; angles 90.00, 90.00, 120.00 degrees
Space group R-3m (No. 166, hexagonal axes)
Inequivalent atoms, fractional coordinates:
Er (0.0000, 0.0000, 0.0000)
Nb (0.0000, 0.0000, 0.5000)
Co (0.0000, 0.0000, 0.2108)

Properties
* ΔE_f: -0.079 eV per atom
* ΔE to the lowest computed polymorph: 50 meV per atom

=====

(10)
Density functional theory data (PBE) for ErNbCo after structural relaxation.

Cell lengths 5.072, 9.415, 18.233 Å; angles 90.00, 90.00, 90.00 degrees
Space group Fddd (No. 70, origin choice 2)
Inequivalent atoms, fractional coordinates:
Er (0.125, 0.287, 0.125)
Nb (0.125, 0.125, 0.543)
Co (0.125, 0.125, 0.000)

Properties
* ΔE_f: -0.047 eV per atom
* ΔE to the lowest computed polymorph: 0 meV per atom

=====

(11)
Density functional theory data (PBE) for ErNbCoOs after structural relaxation.

Cell lengths 6.477, 6.477, 6.477 Å; angles 90.00, 90.00, 90.00 degrees
Space group F-43m (No. 216)
Inequivalent atoms, fractional coordinates:
Er (0.000, 0.000, 0.000)
Nb (0.000, 0.000, 0.500)
Co (0.250, 0.250, 0.750)
Os (0.250, 0.250, 0.250)

Properties
* ΔE_f: -0.136 eV per atom

=====

(12)
Density functional theory data (PBE) for ErNbCoRu after structural relaxation.

Cell lengths 6.460, 6.460, 6.460 Å; angles 90.00, 90.00, 90.00 degrees
Space group F-43m (No. 216)
Inequivalent atoms, fractional coordinates:
Er (0.000, 0.000, 0.000)
Nb (0.000, 0.000, 0.500)
Co (0.250, 0.250, 0.250)
Ru (0.250, 0.250, 0.750)

Properties
* ΔE_f: -0.178 eV per atom